Cs2MgTlF5, relaxed, DFT PBE-GGA; E_form (uncorrected) = -2.734 eV per atom; DOS(E_F) = 0.0 states/eV/cell
1.0
-2.071 3.242 6.861
2.071 -3.242 6.861
2.071 3.242 -6.861
Cs Mg Tl F
2 1 1 5
direct
0.217 0.217 0.000 Cs
0.783 0.783 0.000 Cs
0.000 0.500 0.500 Mg
0.500 0.000 0.500 Tl
0.000 0.000 0.000 F
0.118 0.394 0.723 F
0.329 0.606 0.723 F
0.671 0.394 0.277 F
0.882 0.606 0.277 F